Entry 1:
Density functional theory data (GGA-PBEsol) for a relaxed structure of KTlTeBr2.

Space-group type: P4/mmm
E: -11.9 eV/cell
ρ: 4.10 g/cm³
ΔE_f (raw): -0.171 eV/atom

abc: 5.9080 5.9080 6.1576
angles: 90.00 90.00 90.00
Last column: magnetic moment on the atom in μB.
Fractional positions:
Te: 0.0000 0.0000 0.5000  0.81
Tl: 0.5000 0.5000 0.5000  0.01
Br: 0.0000 0.5000 0.0000  0.17
Br: 0.5000 0.0000 0.0000  0.17
K: 0.0000 0.0000 0.0000  0.02

***

Entry 2:
Density functional theory data (GGA-PBEsol) for a relaxed structure of KTlBr2.

Space-group type: P2/m
E: -12.4 eV/cell
ρ: 5.59 g/cm³
ΔE_f (raw): -1.221 eV/atom
Polymorph energy (0 for the lowest one): 33 meV per atom

abc: 3.9147 3.9146 7.8229
angles: 90.00 90.04 90.00
Fractional positions:
Br: 0.0013 0.0000 0.7520
Br: 0.9987 0.0000 0.2480
Tl: 0.5000 0.5000 0.5000
K: 0.5000 0.5000 0.0000

***

| no. | magnetization (μB/f.u.) |
| --- | --- |
| 1 | 2.05 |
| 2 | 0.00 |